A plane-wave DFT calculation with PBE was carried out for KInCo2P after structural relaxation.

Output
Total magnetic moment   2.8 μB/cell
N(E_F)   5.78 states/eV/f.u.
Calculated formation energy   0.478 eV/atom

a b c (Å): 4.3875 4.3875 5.7253
angles (deg): 90.00 90.00 90.00
Space group P4/mmm (No. 123)
One atom of each set of equivalent atoms:
K 0.0000 0.0000 0.0000 (multiplicity 1)
In 0.5000 0.5000 0.0000 (multiplicity 1)
Co 0.0000 0.5000 0.5000 (multiplicity 2)
P 0.0000 0.0000 0.5000 (multiplicity 1)

---

A plane-wave DFT calculation with PBE was carried out for KInCoRh2 after structural relaxation.

Output
Total magnetic moment   2.6 μB/cell
N(E_F)   3.43 states/eV/f.u.
Calculated formation energy   0.602 eV/atom

a b c (Å): 4.6862 4.6862 4.9202
angles (deg): 90.00 90.00 90.00
Space group P4/mmm (No. 123)
One atom of each set of equivalent atoms:
K 0.0000 0.0000 0.0000 (multiplicity 1)
In 0.5000 0.5000 0.0000 (multiplicity 1)
Co 0.5000 0.5000 0.5000 (multiplicity 1)
Rh 0.0000 0.5000 0.5000 (multiplicity 2)

---

A plane-wave DFT calculation with PBE was carried out for KIn2CoSb after structural relaxation.

Output
Total magnetic moment   0.1 μB/cell
N(E_F)   4.59 states/eV/f.u.
E_form (uncorrected)   -0.021 eV/atom

a b c (Å): 5.0491 5.0491 5.1375
angles (deg): 90.00 90.00 90.00
Space group P4/mmm (No. 123)
One atom of each set of equivalent atoms:
K 0.0000 0.0000 0.0000 (multiplicity 1)
In 0.0000 0.5000 0.5000 (multiplicity 2)
Co 0.5000 0.5000 0.5000 (multiplicity 1)
Sb 0.5000 0.5000 0.0000 (multiplicity 1)

---

A plane-wave DFT calculation with PBE was carried out for KIn2CoSn after structural relaxation.

Output
Total magnetic moment   0.0 μB/cell
N(E_F)   4.07 states/eV/f.u.
Calculated formation energy   -0.035 eV/atom

a b c (Å): 5.0758 5.0758 5.0038
angles (deg): 90.00 90.00 90.00
Space group P4/mmm (No. 123)
One atom of each set of equivalent atoms:
K 0.0000 0.0000 0.0000 (multiplicity 1)
In 0.0000 0.5000 0.5000 (multiplicity 2)
Co 0.5000 0.5000 0.5000 (multiplicity 1)
Sn 0.5000 0.5000 0.0000 (multiplicity 1)

---

A plane-wave DFT calculation with PBE was carried out for KTl2InCo after structural relaxation.

Output
Total magnetic moment   0.5 μB/cell
N(E_F)   3.46 states/eV/f.u.
Calculated formation energy   0.037 eV/atom

a b c (Å): 5.1810 5.1810 5.0781
angles (deg): 90.00 90.00 90.00
Space group P4/mmm (No. 123)
One atom of each set of equivalent atoms:
K 0.0000 0.0000 0.0000 (multiplicity 1)
Tl 0.0000 0.5000 0.5000 (multiplicity 2)
In 0.5000 0.5000 0.0000 (multiplicity 1)
Co 0.5000 0.5000 0.5000 (multiplicity 1)

---

A plane-wave DFT calculation with PBE was carried out for KZnIn2Co after structural relaxation.

Output
Total magnetic moment   0.0 μB/cell
N(E_F)   1.88 states/eV/f.u.
Calculated formation energy   -0.021 eV/atom

a b c (Å): 4.9859 4.9859 4.9041
angles (deg): 90.00 90.00 90.00
Space group P4/mmm (No. 123)
One atom of each set of equivalent atoms:
K 0.0000 0.0000 0.0000 (multiplicity 1)
Zn 0.5000 0.5000 0.0000 (multiplicity 1)
In 0.0000 0.5000 0.5000 (multiplicity 2)
Co 0.5000 0.5000 0.5000 (multiplicity 1)

---

What is the formula in the first record? KInCo2P